First-principles (PBE) data for an optimized crystal structure of Zn2AgP, as listed in the Alexandria database.

Geometry as POSCAR:
```
Zn2AgP
1.0
4.1020 0.0000 0.0000
0.0000 4.1020 0.0000
0.0000 0.0000 3.8251
Zn Ag P
2 1 1
direct
0.0000 0.5000 0.0000
0.5000 0.0000 0.0000
0.0000 0.0000 0.5000
0.5000 0.5000 0.5000
```

Values from the calculation:
Symmetry: P4/mmm (123)

First-principles (PBE) data for an optimized crystal structure of Zr2FeP, as listed in the Alexandria database.

Geometry as POSCAR:
```
Zr2FeP
1.0
3.5677 0.0000 0.0000
0.0000 3.5677 0.0000
0.0000 0.0000 5.5979
Zr Fe P
2 1 1
direct
0.0000 0.0000 0.0000
0.5000 0.5000 0.3304
0.0000 0.0000 0.5329
0.5000 0.5000 0.8266
```

Values from the calculation:
Symmetry: P4mm (99)

| no. | total DFT energy (no corrections) (eV/atom) | theoretical density (g/cm3) |
| --- | --- | --- |
| 1 | -2.531 | 6.96 |
| 2 | -8.110 | 6.28 |